# 1
# Dy4Pb2F PBE relaxed
# Raw total energy, eV per atom: -4.913
# Total magnetization, μB/cell: 2.67
# Uncorrected formation energy, eV/f.u.: -6.69
data_Dy4Pb2F
_symmetry_space_group_name_H-M 'I 4/m m m'
_symmetry_Int_Tables_number 139
_symmetry_space_group_name_Hall '-I 4 2'
_cell_length_a 4.5889
_cell_length_b 4.5889
_cell_length_c 17.7305
_cell_angle_alpha 90.00
_cell_angle_beta 90.00
_cell_angle_gamma 90.00
loop_
_atom_site_label
_atom_site_type_symbol
_atom_site_fract_x
_atom_site_fract_y
_atom_site_fract_z
Dy1 Dy 0.0000 0.0000 0.1876
Dy2 Dy 0.0000 0.5000 0.0000
Pb1 Pb 0.0000 0.0000 0.3671
F1 F 0.0000 0.0000 0.0000


# 2
# DyPb2F6 PBE relaxed
# Raw total energy, eV per atom: -5.393
# Total magnetization, μB/cell: 0.93
# Uncorrected formation energy, eV/f.u.: -25.29
data_DyPb2F6
_symmetry_space_group_name_H-M 'C 1 2/m 1'
_symmetry_Int_Tables_number 12
_cell_length_a 14.7612
_cell_length_b 3.4487
_cell_length_c 7.5055
_cell_angle_alpha 90.00
_cell_angle_beta 107.88
_cell_angle_gamma 90.00
loop_
_symmetry_equiv_pos_as_xyz
'x,y,z'
'-x,-y,-z'
'-x,y,-z'
'x,-y,z'
'x+1/2,y+1/2,z'
'-x+1/2,-y+1/2,-z'
'-x+1/2,y+1/2,-z'
'x+1/2,-y+1/2,z'
loop_
_atom_site_label
_atom_site_type_symbol
_atom_site_fract_x
_atom_site_fract_y
_atom_site_fract_z
Dy1 Dy 0.0000 0.0000 0.0000
Pb1 Pb 0.1486 0.0000 0.5912
F1 F 0.0202 0.0000 0.3015
F2 F 0.0922 0.5000 0.9927
F3 F 0.1875 0.5000 0.3725


# 3
# RbDyPbF6 PBE relaxed
# Raw total energy, eV per atom: -5.473
# Total magnetization, μB/cell: 0.00
# Uncorrected formation energy, eV/f.u.: -28.75
data_RbDyPbF6
_symmetry_space_group_name_H-M 'I m m a'
_symmetry_Int_Tables_number 74
_symmetry_space_group_name_Hall '-I 2b 2'
_cell_length_a 8.0122
_cell_length_b 8.1851
_cell_length_c 11.4054
_cell_angle_alpha 90.00
_cell_angle_beta 90.00
_cell_angle_gamma 90.00
loop_
_atom_site_label
_atom_site_type_symbol
_atom_site_fract_x
_atom_site_fract_y
_atom_site_fract_z
Rb1 Rb 0.0000 0.2500 0.1439
Dy1 Dy 0.0000 0.0000 0.5000
Pb1 Pb 0.2500 0.2500 0.7500
F1 F 0.0000 0.2500 0.5688
F2 F 0.0000 0.2500 0.8672
F3 F 0.1913 0.0265 0.3669